<one>
## KGa2I (PBE)

Data for KGa2I after structural relaxation. Values from VASP.

Computed properties:
As for the crystal system: cubic.

Cell and atoms, written as Quantum ESPRESSO input:
```
&SYSTEM
  ibrav = 0, nat = 4, ntyp = 3
/
ATOMIC_SPECIES
K 39.10 K.upf
Ga 69.72 Ga.upf
I 126.90 I.upf
CELL_PARAMETERS angstrom
0.000 4.031 4.031
4.031 0.000 4.031
4.031 4.031 0.000
ATOMIC_POSITIONS crystal
K 0.000 0.000 0.000
Ga 0.250 0.250 0.250
Ga 0.750 0.750 0.750
I 0.500 0.500 0.500
```

---

<two>
## KGa2I (PBE)

Data for KGa2I after structural relaxation. Values from VASP.

Computed properties:
As for the crystal system: tetragonal.

Cell and atoms, written as Quantum ESPRESSO input:
```
&SYSTEM
  ibrav = 0, nat = 8, ntyp = 3
/
ATOMIC_SPECIES
K 39.10 K.upf
Ga 69.72 Ga.upf
I 126.90 I.upf
CELL_PARAMETERS angstrom
-4.684 4.684 3.223
4.684 -4.684 3.223
4.684 4.684 -3.223
ATOMIC_POSITIONS crystal
K 0.000 0.000 0.000
K 0.750 0.250 0.500
Ga 0.148 0.625 0.023
Ga 0.375 0.398 0.523
Ga 0.602 0.125 0.977
Ga 0.875 0.852 0.477
I 0.250 0.750 0.500
I 0.500 0.500 0.000
```

---

What should be chosen as the least stable of them? Choose <one>.

---

<one>
## K3GaI4 (PBE)

Data for K3GaI4 after structural relaxation. Values from VASP.

Computed properties:
As for the crystal system: tetragonal.

Cell and atoms, written as Quantum ESPRESSO input:
```
&SYSTEM
  ibrav = 0, nat = 8, ntyp = 3
/
ATOMIC_SPECIES
K 39.10 K.upf
Ga 69.72 Ga.upf
I 126.90 I.upf
CELL_PARAMETERS angstrom
-3.522 3.522 7.063
3.522 -3.522 7.063
3.522 3.522 -7.063
ATOMIC_POSITIONS crystal
K 0.000 0.000 0.000
K 0.250 0.750 0.500
K 0.750 0.250 0.500
Ga 0.500 0.500 0.000
I 0.000 0.500 0.500
I 0.261 0.261 0.000
I 0.500 0.000 0.500
I 0.739 0.739 0.000
```

---

<two>
## K3GaI4 (PBE)

Data for K3GaI4 after structural relaxation. Values from VASP.

Computed properties:
As for the crystal system: orthorhombic.

Cell and atoms, written as Quantum ESPRESSO input:
```
&SYSTEM
  ibrav = 0, nat = 16, ntyp = 3
/
ATOMIC_SPECIES
K 39.10 K.upf
Ga 69.72 Ga.upf
I 126.90 I.upf
CELL_PARAMETERS angstrom
12.125 0.000 0.000
0.000 10.211 0.000
0.000 0.000 7.048
ATOMIC_POSITIONS crystal
K 0.000 0.159 0.000
K 0.246 0.330 0.500
K 0.254 0.670 0.000
K 0.500 0.841 0.500
K 0.746 0.670 0.000
K 0.754 0.330 0.500
Ga 0.000 0.824 0.482
Ga 0.500 0.176 0.982
I 0.000 0.146 0.500
I 0.000 0.821 0.040
I 0.245 0.675 0.500
I 0.255 0.325 0.000
I 0.500 0.179 0.540
I 0.500 0.854 0.000
I 0.745 0.325 0.000
I 0.755 0.675 0.500
```

---

What should be chosen as the least stable of them? Choose <two>.

---

<one>
## K3GaI6 (PBE)

Data for K3GaI6 after structural relaxation. Values from VASP.

Computed properties:
As for the crystal system: monoclinic.

Cell and atoms, written as Quantum ESPRESSO input:
```
&SYSTEM
  ibrav = 0, nat = 20, ntyp = 3
/
ATOMIC_SPECIES
K 39.10 K.upf
Ga 69.72 Ga.upf
I 126.90 I.upf
CELL_PARAMETERS angstrom
8.319 0.000 0.000
0.000 8.885 0.000
-7.751 0.000 11.775
ATOMIC_POSITIONS crystal
K 0.000 0.000 0.000
K 0.000 0.500 0.500
K 0.206 0.081 0.740
K 0.206 0.419 0.240
K 0.794 0.581 0.760
K 0.794 0.919 0.260
Ga 0.500 0.000 0.500
Ga 0.500 0.500 0.000
I 0.174 0.171 0.451
I 0.174 0.329 0.951
I 0.268 0.731 0.426
I 0.268 0.769 0.926
I 0.406 0.052 0.279
I 0.406 0.448 0.779
I 0.594 0.552 0.221
I 0.594 0.948 0.721
I 0.732 0.231 0.074
I 0.732 0.269 0.574
I 0.826 0.671 0.049
I 0.826 0.829 0.549
```

---

<two>
## K3GaI6 (PBE)

Data for K3GaI6 after structural relaxation. Values from VASP.

Computed properties:
As for the crystal system: orthorhombic.

Cell and atoms, written as Quantum ESPRESSO input:
```
&SYSTEM
  ibrav = 0, nat = 20, ntyp = 3
/
ATOMIC_SPECIES
K 39.10 K.upf
Ga 69.72 Ga.upf
I 126.90 I.upf
CELL_PARAMETERS angstrom
7.185 -8.811 0.000
7.185 8.811 0.000
0.000 0.000 8.918
ATOMIC_POSITIONS crystal
K 0.057 0.943 0.500
K 0.164 0.379 0.413
K 0.379 0.164 0.913
K 0.621 0.836 0.413
K 0.836 0.621 0.913
K 0.943 0.057 0.000
Ga 0.303 0.697 0.722
Ga 0.697 0.303 0.222
I 0.082 0.628 0.624
I 0.133 0.204 0.722
I 0.204 0.133 0.222
I 0.312 0.688 0.008
I 0.372 0.918 0.624
I 0.434 0.566 0.589
I 0.566 0.434 0.089
I 0.628 0.082 0.124
I 0.688 0.312 0.508
I 0.796 0.867 0.722
I 0.867 0.796 0.222
I 0.918 0.372 0.124
```

---

What should be chosen as the least stable of them? Choose <one>.

---

<one>
## KGaIN2 (PBE)

Data for KGaIN2 after structural relaxation. Values from VASP.

Computed properties:
As for the crystal system: tetragonal.

Cell and atoms, written as Quantum ESPRESSO input:
```
&SYSTEM
  ibrav = 0, nat = 5, ntyp = 4
/
ATOMIC_SPECIES
K 39.10 K.upf
Ga 69.72 Ga.upf
I 126.90 I.upf
N 14.01 N.upf
CELL_PARAMETERS angstrom
4.340 0.000 0.000
0.000 4.340 0.000
0.000 0.000 5.948
ATOMIC_POSITIONS crystal
K 0.000 0.000 0.000
Ga 0.500 0.500 0.500
I 0.500 0.500 0.000
N 0.000 0.500 0.500
N 0.500 0.000 0.500
```

---

<two>
## KGaIN2 (PBE)

Data for KGaIN2 after structural relaxation. Values from VASP.

Computed properties:
As for the crystal system: tetragonal.

Cell and atoms, written as Quantum ESPRESSO input:
```
&SYSTEM
  ibrav = 0, nat = 5, ntyp = 4
/
ATOMIC_SPECIES
K 39.10 K.upf
Ga 69.72 Ga.upf
I 126.90 I.upf
N 14.01 N.upf
CELL_PARAMETERS angstrom
5.194 0.000 0.000
0.000 5.194 0.000
0.000 0.000 7.028
ATOMIC_POSITIONS crystal
K 0.000 0.000 0.000
Ga 0.500 0.500 0.500
I 0.000 0.000 0.500
N 0.000 0.500 0.000
N 0.500 0.000 0.000
```

---

What should be chosen as the least stable of them? Choose <two>.

---

<one>
## La2GaI2 (PBE)

Data for La2GaI2 after structural relaxation. Values from VASP.

Computed properties:
As for the crystal system: tetragonal.

Cell and atoms, written as Quantum ESPRESSO input:
```
&SYSTEM
  ibrav = 0, nat = 10, ntyp = 3
/
ATOMIC_SPECIES
La 138.91 La.upf
Ga 69.72 Ga.upf
I 126.90 I.upf
CELL_PARAMETERS angstrom
9.773 0.000 0.000
0.000 9.773 0.000
0.000 0.000 4.126
ATOMIC_POSITIONS crystal
La 0.165 0.335 0.000
La 0.335 0.835 0.000
La 0.665 0.165 0.000
La 0.835 0.665 0.000
Ga 0.000 0.000 0.500
Ga 0.500 0.500 0.500
I 0.133 0.633 0.500
I 0.367 0.133 0.500
I 0.633 0.867 0.500
I 0.867 0.367 0.500
```

---

<two>
## La2GaI2 (PBE)

Data for La2GaI2 after structural relaxation. Values from VASP.

Computed properties:
As for the crystal system: tetragonal.

Cell and atoms, written as Quantum ESPRESSO input:
```
&SYSTEM
  ibrav = 0, nat = 5, ntyp = 3
/
ATOMIC_SPECIES
La 138.91 La.upf
Ga 69.72 Ga.upf
I 126.90 I.upf
CELL_PARAMETERS angstrom
-3.083 3.083 4.773
3.083 -3.083 4.773
3.083 3.083 -4.773
ATOMIC_POSITIONS crystal
La 0.250 0.750 0.500
La 0.750 0.250 0.500
Ga 0.000 0.000 0.000
I 0.322 0.322 0.000
I 0.678 0.678 0.000
```

---

What should be chosen as the least stable of them? Choose <one>.

---

<one>
## La2GaI (PBE)

Data for La2GaI after structural relaxation. Values from VASP.

Computed properties:
As for the crystal system: tetragonal.

Cell and atoms, written as Quantum ESPRESSO input:
```
&SYSTEM
  ibrav = 0, nat = 4, ntyp = 3
/
ATOMIC_SPECIES
La 138.91 La.upf
Ga 69.72 Ga.upf
I 126.90 I.upf
CELL_PARAMETERS angstrom
3.719 0.000 0.000
0.000 3.719 0.000
0.000 0.000 8.563
ATOMIC_POSITIONS crystal
La 0.000 0.000 0.225
La 0.000 0.000 0.775
Ga 0.500 0.500 0.000
I 0.500 0.500 0.500
```

---

<two>
## La2GaI (PBE)

Data for La2GaI after structural relaxation. Values from VASP.

Computed properties:
As for the crystal system: trigonal.

Cell and atoms, written as Quantum ESPRESSO input:
```
&SYSTEM
  ibrav = 0, nat = 4, ntyp = 3
/
ATOMIC_SPECIES
La 138.91 La.upf
Ga 69.72 Ga.upf
I 126.90 I.upf
CELL_PARAMETERS angstrom
2.261 1.305 7.585
-2.261 1.305 7.585
0.000 -2.611 7.585
ATOMIC_POSITIONS crystal
La 0.239 0.239 0.239
La 0.761 0.761 0.761
Ga 0.500 0.500 0.500
I 0.000 0.000 0.000
```

---

<three>
## La2GaI (PBE)

Data for La2GaI after structural relaxation. Values from VASP.

Computed properties:
As for the crystal system: hexagonal.

Cell and atoms, written as Quantum ESPRESSO input:
```
&SYSTEM
  ibrav = 0, nat = 8, ntyp = 3
/
ATOMIC_SPECIES
La 138.91 La.upf
Ga 69.72 Ga.upf
I 126.90 I.upf
CELL_PARAMETERS angstrom
4.475 0.000 0.000
-2.238 3.876 0.000
0.000 0.000 15.723
ATOMIC_POSITIONS crystal
La 0.333 0.667 0.105
La 0.333 0.667 0.395
La 0.667 0.333 0.605
La 0.667 0.333 0.895
Ga 0.000 0.000 0.000
Ga 0.000 0.000 0.500
I 0.333 0.667 0.750
I 0.667 0.333 0.250
```

---

<four>
## La2GaI (PBE)

Data for La2GaI after structural relaxation. Values from VASP.

Computed properties:
As for the crystal system: tetragonal.

Cell and atoms, written as Quantum ESPRESSO input:
```
&SYSTEM
  ibrav = 0, nat = 8, ntyp = 3
/
ATOMIC_SPECIES
La 138.91 La.upf
Ga 69.72 Ga.upf
I 126.90 I.upf
CELL_PARAMETERS angstrom
-3.409 3.409 7.631
3.409 -3.409 7.631
3.409 3.409 -7.631
ATOMIC_POSITIONS crystal
La 0.079 0.625 0.954
La 0.375 0.329 0.454
La 0.671 0.125 0.046
La 0.875 0.921 0.546
Ga 0.000 0.000 0.000
Ga 0.750 0.250 0.500
I 0.250 0.750 0.500
I 0.500 0.500 0.000
```

---

What should be chosen as the least stable of them? Choose <four>.

---

<one>
## La2GaI (PBE)

Data for La2GaI after structural relaxation. Values from VASP.

Computed properties:
As for the crystal system: trigonal.

Cell and atoms, written as Quantum ESPRESSO input:
```
&SYSTEM
  ibrav = 0, nat = 4, ntyp = 3
/
ATOMIC_SPECIES
La 138.91 La.upf
Ga 69.72 Ga.upf
I 126.90 I.upf
CELL_PARAMETERS angstrom
2.216 1.279 8.052
-2.216 1.279 8.052
0.000 -2.559 8.052
ATOMIC_POSITIONS crystal
La 0.000 0.000 0.000
La 0.195 0.195 0.195
Ga 0.598 0.598 0.598
I 0.429 0.429 0.429
```

---

<two>
## La2GaI (PBE)

Data for La2GaI after structural relaxation. Values from VASP.

Computed properties:
As for the crystal system: monoclinic.

Cell and atoms, written as Quantum ESPRESSO input:
```
&SYSTEM
  ibrav = 0, nat = 16, ntyp = 3
/
ATOMIC_SPECIES
La 138.91 La.upf
Ga 69.72 Ga.upf
I 126.90 I.upf
CELL_PARAMETERS angstrom
4.567 -8.966 0.000
4.567 8.966 0.000
-4.418 0.000 6.463
ATOMIC_POSITIONS crystal
La 0.052 0.428 0.731
La 0.146 0.273 0.228
La 0.273 0.146 0.728
La 0.428 0.052 0.231
La 0.572 0.948 0.769
La 0.727 0.854 0.272
La 0.854 0.727 0.772
La 0.948 0.572 0.269
Ga 0.070 0.930 0.250
Ga 0.195 0.805 0.750
Ga 0.805 0.195 0.250
Ga 0.930 0.070 0.750
I 0.319 0.681 0.250
I 0.443 0.557 0.750
I 0.557 0.443 0.250
I 0.681 0.319 0.750
```

---

What should be chosen as the least stable of them? Choose <one>.

---

<one>
## LaGa2I2 (PBE)

Data for LaGa2I2 after structural relaxation. Values from VASP.

Computed properties:
As for the crystal system: tetragonal.

Cell and atoms, written as Quantum ESPRESSO input:
```
&SYSTEM
  ibrav = 0, nat = 5, ntyp = 3
/
ATOMIC_SPECIES
La 138.91 La.upf
Ga 69.72 Ga.upf
I 126.90 I.upf
CELL_PARAMETERS angstrom
-1.932 1.932 12.408
1.932 -1.932 12.408
1.932 1.932 -12.408
ATOMIC_POSITIONS crystal
La 0.000 0.000 0.000
Ga 0.250 0.750 0.500
Ga 0.750 0.250 0.500
I 0.422 0.422 0.000
I 0.578 0.578 0.000
```

---

<two>
## LaGa2I2 (PBE)

Data for LaGa2I2 after structural relaxation. Values from VASP.

Computed properties:
As for the crystal system: tetragonal.

Cell and atoms, written as Quantum ESPRESSO input:
```
&SYSTEM
  ibrav = 0, nat = 10, ntyp = 3
/
ATOMIC_SPECIES
La 138.91 La.upf
Ga 69.72 Ga.upf
I 126.90 I.upf
CELL_PARAMETERS angstrom
8.658 0.000 0.000
0.000 8.658 0.000
0.000 0.000 4.378
ATOMIC_POSITIONS crystal
La 0.000 0.000 0.000
La 0.500 0.500 0.000
Ga 0.182 0.318 0.500
Ga 0.318 0.818 0.500
Ga 0.682 0.182 0.500
Ga 0.818 0.682 0.500
I 0.150 0.650 0.000
I 0.350 0.150 0.000
I 0.650 0.850 0.000
I 0.850 0.350 0.000
```

---

What should be chosen as the least stable of them? Choose <two>.

---

<one>
## La4GaI3 (PBE)

Data for La4GaI3 after structural relaxation. Values from VASP.

Computed properties:
As for the crystal system: orthorhombic.

Cell and atoms, written as Quantum ESPRESSO input:
```
&SYSTEM
  ibrav = 0, nat = 8, ntyp = 3
/
ATOMIC_SPECIES
La 138.91 La.upf
Ga 69.72 Ga.upf
I 126.90 I.upf
CELL_PARAMETERS angstrom
4.609 -6.498 0.000
4.609 6.498 0.000
0.000 0.000 4.573
ATOMIC_POSITIONS crystal
La 0.215 0.215 0.500
La 0.231 0.769 0.000
La 0.769 0.231 0.000
La 0.785 0.785 0.500
Ga 0.000 0.000 0.000
I 0.000 0.500 0.500
I 0.500 0.000 0.500
I 0.500 0.500 0.000
```

---

<two>
## La4GaI3 (PBE)

Data for La4GaI3 after structural relaxation. Values from VASP.

Computed properties:
As for the crystal system: monoclinic.

Cell and atoms, written as Quantum ESPRESSO input:
```
&SYSTEM
  ibrav = 0, nat = 16, ntyp = 3
/
ATOMIC_SPECIES
La 138.91 La.upf
Ga 69.72 Ga.upf
I 126.90 I.upf
CELL_PARAMETERS angstrom
8.045 0.000 0.000
0.000 9.053 0.000
-2.524 0.000 7.528
ATOMIC_POSITIONS crystal
La 0.216 0.137 0.478
La 0.216 0.863 0.978
La 0.217 0.390 0.000
La 0.217 0.610 0.500
La 0.783 0.390 0.500
La 0.783 0.610 0.000
La 0.784 0.137 0.022
La 0.784 0.863 0.522
Ga 0.000 0.375 0.250
Ga 0.000 0.625 0.750
I 0.000 0.132 0.750
I 0.000 0.868 0.250
I 0.500 0.123 0.250
I 0.500 0.367 0.750
I 0.500 0.633 0.250
I 0.500 0.877 0.750
```

---

What should be chosen as the least stable of them? Choose <two>.

---

<one>
## LaGaI2N (PBE)

Data for LaGaI2N after structural relaxation. Values from VASP.

Computed properties:
As for the crystal system: tetragonal.

Cell and atoms, written as Quantum ESPRESSO input:
```
&SYSTEM
  ibrav = 0, nat = 5, ntyp = 4
/
ATOMIC_SPECIES
La 138.91 La.upf
Ga 69.72 Ga.upf
I 126.90 I.upf
N 14.01 N.upf
CELL_PARAMETERS angstrom
6.542 0.000 0.000
0.000 6.542 0.000
0.000 0.000 4.198
ATOMIC_POSITIONS crystal
La 0.000 0.000 0.000
Ga 0.500 0.500 0.500
I 0.000 0.500 0.000
I 0.500 0.000 0.000
N 0.000 0.000 0.500
```

---

<two>
## LaGaI2N (PBE)

Data for LaGaI2N after structural relaxation. Values from VASP.

Computed properties:
As for the crystal system: tetragonal.

Cell and atoms, written as Quantum ESPRESSO input:
```
&SYSTEM
  ibrav = 0, nat = 5, ntyp = 4
/
ATOMIC_SPECIES
La 138.91 La.upf
Ga 69.72 Ga.upf
I 126.90 I.upf
N 14.01 N.upf
CELL_PARAMETERS angstrom
6.032 0.000 0.000
0.000 6.032 0.000
0.000 0.000 3.619
ATOMIC_POSITIONS crystal
La 0.000 0.000 0.000
Ga 0.500 0.500 0.500
I 0.000 0.500 0.500
I 0.500 0.000 0.500
N 0.500 0.500 0.000
```

---

What should be chosen as the least stable of them? Choose <two>.